# 1
The following is a GGA+U calculation of an optimized crystal structure of CoBiIrO6, from Alexandria.

The structure in CIF format:
```
data_CoBiIrO6
_cell_length_a 4.789
_cell_length_b 4.789
_cell_length_c 9.731
_cell_angle_alpha 90.00
_cell_angle_beta 90.00
_cell_angle_gamma 90.00
_symmetry_space_group_name_H-M 'P 42 n m'
_symmetry_Int_Tables_number 102
loop_
_symmetry_equiv_pos_as_xyz
'x,y,z'
'-y+1/2,x+1/2,z+1/2'
'-x,-y,z'
'y+1/2,-x+1/2,z+1/2'
'-x+1/2,y+1/2,z+1/2'
'y,x,z'
'x+1/2,-y+1/2,z+1/2'
'-y,-x,z'
loop_
_atom_site_label
_atom_site_fract_x
_atom_site_fract_y
_atom_site_fract_z
Co1 0.000 0.000 0.000
Bi1 0.000 0.000 0.331
Ir1 0.000 0.000 0.666
O1 0.177 0.177 0.827
O2 0.195 0.195 0.519
O3 0.212 0.212 0.157
```

Calculated values
Density of states at the Fermi level (states/eV/f.u.): 4.87
Size of the total moment (μB per formula unit): 4.3
Uncorrected energy (eV per atom): -6.133



# 2
The following is a GGA+U calculation of an optimized crystal structure of LiNiP2O7, from Alexandria.

The structure in CIF format:
```
data_LiNiP2O7
_cell_length_a 5.073
_cell_length_b 6.133
_cell_length_c 8.724
_cell_angle_alpha 71.96
_cell_angle_beta 88.30
_cell_angle_gamma 87.06
_symmetry_space_group_name_H-M 'P -1'
_symmetry_Int_Tables_number 2
loop_
_symmetry_equiv_pos_as_xyz
'x,y,z'
'-x,-y,-z'
loop_
_atom_site_label
_atom_site_fract_x
_atom_site_fract_y
_atom_site_fract_z
Li1 0.198 0.308 0.020
Ni1 0.244 0.956 0.761
P1 0.207 0.292 0.368
P2 0.301 0.755 0.156
O1 0.072 0.717 0.690
O2 0.120 0.961 0.164
O3 0.210 0.667 0.019
O4 0.258 0.188 0.544
O5 0.263 0.561 0.328
O6 0.401 0.210 0.253
O7 0.409 0.186 0.860
```

Calculated values
Density of states at the Fermi level (states/eV/f.u.): 2.69
ΔE to the lowest computed polymorph (kJ/mol of atoms): 3.2
Size of the total moment (μB per formula unit): 3.1
Uncorrected energy (eV per atom): -6.415